SrAcHgAu, optimized geometry, DFT PBE-GGA; E_tot = -2.9602 eV/atom; relative energy among the computed polymorphs = 0.0173 eV/atom; DOS at the Fermi energy = 3.6 states/eV/f.u.; symmetry = F-43m (216); calculated formation energy = -59.6 kJ/mol of atoms
1.0
0.000 3.949 3.949
3.949 0.000 3.949
3.949 3.949 0.000
Sr Ac Hg Au
1 1 1 1
direct
0.000 0.000 0.000 Sr
0.500 0.500 0.500 Ac
0.250 0.250 0.250 Hg
0.750 0.750 0.750 Au